Below is a geometry-optimized MgCoBiOs structure, with properties calculated at the PBE-GGA level.

Cell lengths 4.524, 4.524, 4.524 Å; angles 60.00, 60.00, 60.00 degrees
Element x y z (fractional)
Mg 0.500 0.500 0.500
Bi 0.000 0.000 0.000
Co 0.750 0.750 0.750
Os 0.250 0.250 0.250

- space-group type = F-43m (216)
- mass density (Mg/m³) = 12.24
- final energy (hartree per atom) = -0.203


Below is a geometry-optimized TlCuBi2 structure, with properties calculated at the PBE-GGA level.

Cell lengths 5.364, 5.364, 5.364 Å; angles 60.00, 60.00, 60.00 degrees
Element x y z (fractional)
Bi 0.000 0.000 0.000
Bi 0.750 0.750 0.750
Tl 0.500 0.500 0.500
Cu 0.250 0.250 0.250

- space-group type = F-43m (216)
- mass density (Mg/m³) = 10.43
- final energy (hartree per atom) = -0.118


Below is a geometry-optimized Ho2Sc2CI2Cl3 structure, with properties calculated at the PBE-GGA level.

Cell lengths 9.143, 9.143, 7.634 Å; angles 99.56, 99.56, 23.53 degrees
Element x y z (fractional)
Ho 0.633 0.633 0.068
C 0.500 0.500 0.000
Cl 0.500 0.500 0.500
Cl 0.857 0.857 0.679
Sc 0.998 0.998 0.197
Cl 0.143 0.143 0.321
Ho 0.367 0.367 0.932
I 0.172 0.172 0.786
I 0.828 0.828 0.214
Sc 0.002 0.002 0.803

- space-group type = C2/m (12)
- mass density (Mg/m³) = 5.24
- final energy (hartree per atom) = -0.197